Entry 1:
The following is a DFT calculation (PBE) of ScCCl3 after structural relaxation.

Values from the calculation:
- Space group: Pm-3m, No. 221
- E_tot: -4.2467 eV/atom

Cell: 4.990 4.990 4.990 Å, 90.00 90.00 90.00°
Site moments in Bohr magnetons follow the coordinates.
Fractional coordinates of all 5 atoms:
Sc: 0.000 0.000 0.000  0.01
C: 0.500 0.500 0.500  0.97
Cl: 0.500 0.000 0.000  0.00
Cl: 0.000 0.500 0.000  0.00
Cl: 0.000 0.000 0.500  0.01


Entry 2:
The following is a DFT calculation (PBE) of Ag3SeF after structural relaxation.

Values from the calculation:
- Space group: P2_1/c, No. 14
- E_tot: -3.2498 eV/atom

Cell: 5.662 8.236 8.772 Å, 108.38 90.00 90.00°
Fractional coordinates of all 20 atoms:
Ag: 0.058 0.798 0.819
Ag: 0.370 0.180 0.968
Ag: 0.130 0.680 0.468
Ag: 0.942 0.202 0.181
Ag: 0.179 0.999 0.372
Ag: 0.870 0.320 0.532
Ag: 0.630 0.820 0.032
Ag: 0.558 0.702 0.681
Ag: 0.821 0.001 0.628
Ag: 0.321 0.499 0.872
Ag: 0.679 0.501 0.128
Ag: 0.442 0.298 0.319
Se: 0.187 0.470 0.164
Se: 0.813 0.530 0.836
Se: 0.313 0.970 0.664
Se: 0.687 0.030 0.336
F: 0.767 0.079 0.917
F: 0.267 0.421 0.583
F: 0.233 0.921 0.083
F: 0.733 0.579 0.417


Entry 3:
The following is a DFT calculation (PBE) of DyTmPu2Te5 after structural relaxation.

Values from the calculation:
- Space group: P4/mmm, No. 123
- E_tot: -6.6340 eV/atom

Cell: 5.473 5.473 11.518 Å, 90.00 90.00 90.00°
Site moments in Bohr magnetons follow the coordinates.
Fractional coordinates of all 9 atoms:
Pu: 0.500 0.500 0.684  5.75
Pu: 0.500 0.500 0.316  5.75
Te: 0.000 0.500 0.500  -0.04
Te: 0.500 0.500 0.000  -0.03
Te: 0.000 0.000 0.245  -0.03
Te: 0.000 0.000 0.755  -0.03
Te: 0.500 0.000 0.500  -0.04
Dy: 0.000 0.000 0.000  0.05
Tm: 0.000 0.000 0.500  0.06


Entry 4:
The following is a DFT calculation (PBE) of In2HgCl after structural relaxation.

Values from the calculation:
- Space group: P2/m, No. 10
- E_tot: -2.1748 eV/atom

Cell: 5.146 3.416 6.253 Å, 85.44 90.00 90.00°
Fractional coordinates of all 4 atoms:
Cl: 0.500 0.250 0.250
Hg: 0.500 0.750 0.750
In: 0.000 0.032 0.019
In: 0.000 0.468 0.481


Question: E_tot of number 4 (In2HgCl)?
Answer: -2.1748 eV/atom


Question: The highest E_tot belongs to which entry?
Answer: In2HgCl


Question: Among the records above, which one has the lowest E_tot?
Answer: DyTmPu2Te5